1.
{"formula": "NaAsRuBr2", "functional": "PBE-GGA", "state": "relaxed", "relative_energy_mev_per_atom": 1221, "dos_at_fermi_per_ev_atom": 1.609, "raw_formation_energy_kcal_per_mol_atoms": 23.4, "lattice_angstrom": [[-4.422, 1.406, -2.128], [-2.425, -3.636, 2.638], [-0.841, 3.511, 4.066]], "species": ["Na", "Br", "Br", "Ru", "As"], "frac_coords": [[0.000, 0.000, 0.000], [0.000, 0.500, 0.000], [0.500, 0.000, 0.000], [0.500, 0.500, 0.500], [0.000, 0.000, 0.500]]}

2.
{"formula": "Rb2CdH6Ir", "functional": "PBE-GGA", "state": "relaxed", "e_tot_ev_per_atom": -3.365, "dos_at_fermi_per_ev_atom": 0.310, "lattice_angstrom": [[-0.923, 4.901, 1.851], [-3.387, 1.265, -5.039], [-2.709, -2.411, 5.031]], "species": ["H", "H", "H", "H", "H", "H", "Rb", "Rb", "Ir", "Cd"], "frac_coords": [[0.827, 0.135, 0.865], [0.827, 0.135, 0.269], [0.173, 0.865, 0.135], [0.173, 0.865, 0.731], [0.173, 0.269, 0.135], [0.827, 0.731, 0.865], [0.211, 0.333, 0.667], [0.789, 0.667, 0.333], [0.000, 0.000, 0.000], [0.500, 0.000, 0.000]]}